(1)
A relaxed structure of Cu3AgHg, computed with PBE.

abc: 4.8326 4.8326 4.8326
angles: 90.00 90.00 90.00
With the nearest neighbours (Å) after each atom.
Fractional positions:
Cu 0.0000 0.0000 0.5000  2 Hg 2.42
Cu 0.0000 0.5000 0.0000  2 Hg 2.42
Cu 0.5000 0.0000 0.0000  2 Hg 2.42
Ag 0.5000 0.5000 0.5000  12 Cu 3.42
Hg 0.0000 0.0000 0.0000  6 Cu 2.42

Values from the calculation:
**Relative energy among the computed polymorphs**: 79 meV/atom
**Symmetry**: Pm-3m
**Energy relative to the elements**: 934 meV per atom
**Calculated volume**: 22.6 Å³/atom

***

(2)
A relaxed structure of Mg2ScW, computed with PBE.

abc: 5.8311 5.8311 5.8311
angles: 149.74 127.55 61.76
With the nearest neighbours (Å) after each atom.
Fractional positions:
Mg 0.0000 0.0000 0.0000  4 Mg 2.94-3.04, 4 W 2.99, 2 Sc 3.13
Mg 0.7492 0.2492 0.5000  2 W 2.85, 4 Mg 2.94-3.04, 4 Sc 3.00
Sc 0.2732 0.7732 0.5000  2 W 2.80, 6 Mg 3.00-3.13, 2 Sc 3.04
W 0.5082 0.5082 0.0000  2 Sc 2.80, 6 Mg 2.85-2.99, 2 W 3.04

Values from the calculation:
**Relative energy among the computed polymorphs**: 184 meV/atom
**Symmetry**: Imm2
**Energy relative to the elements**: 373 meV per atom
**Calculated volume**: 19.6 Å³/atom

***

(3)
A relaxed structure of KTl2SnRu, computed with PBE.

abc: 5.3717 5.3717 5.1987
angles: 90.00 90.00 90.00
With the nearest neighbours (Å) after each atom.
Fractional positions:
K 0.0000 0.0000 0.0000  8 Tl 3.74, 4 Sn 3.80
Tl 0.0000 0.5000 0.5000  2 Ru 2.69
Tl 0.5000 0.0000 0.5000  2 Ru 2.69
Sn 0.5000 0.5000 0.0000  2 Ru 2.60
Ru 0.5000 0.5000 0.5000  2 Sn 2.60, 4 Tl 2.69

Values from the calculation:
**Relative energy among the computed polymorphs**: 0 meV/atom
**Symmetry**: P4/mmm
**Energy relative to the elements**: 45 meV per atom
**Calculated volume**: 30.0 Å³/atom

***

(4)
A relaxed structure of Np2InNi9, computed with PBE.

abc: 4.8369 4.8369 16.3509
angles: 90.00 90.00 120.00
With the nearest neighbours (Å) after each atom.
Fractional positions:
Np 0.3333 0.6667 0.0368  12 Ni 2.82-3.00, 3 Np 3.04
Np 0.3333 0.6667 0.4632  12 Ni 2.82-3.00, 3 Np 3.04
Np 0.6667 0.3333 0.5368  12 Ni 2.82-3.00, 3 Np 3.04
Np 0.6667 0.3333 0.9632  12 Ni 2.82-3.00, 3 Np 3.04
In 0.3333 0.6667 0.2500  6 Ni 2.79
In 0.6667 0.3333 0.7500  6 Ni 2.79
Ni 0.0000 0.0000 0.0000  6 Ni 2.48
Ni 0.0000 0.0000 0.2500  6 Ni 2.47
Ni 0.0000 0.0000 0.5000  6 Ni 2.48
Ni 0.0000 0.0000 0.7500  6 Ni 2.47
Ni 0.1667 0.3335 0.6256  7 Ni 2.42-2.48
Ni 0.1667 0.3335 0.8744  7 Ni 2.42-2.48
Ni 0.1667 0.8333 0.6256  7 Ni 2.42-2.48
Ni 0.1667 0.8333 0.8744  7 Ni 2.42-2.48
Ni 0.3335 0.1667 0.1256  7 Ni 2.42-2.48
Ni 0.3335 0.1667 0.3744  7 Ni 2.42-2.48
Ni 0.3333 0.6667 0.7500  6 Ni 2.47
Ni 0.6667 0.3333 0.2500  6 Ni 2.47
Ni 0.6665 0.8333 0.6256  7 Ni 2.42-2.48
Ni 0.6665 0.8333 0.8744  7 Ni 2.42-2.48
Ni 0.8333 0.1667 0.1256  7 Ni 2.42-2.48
Ni 0.8333 0.1667 0.3744  7 Ni 2.42-2.48
Ni 0.8333 0.6665 0.1256  7 Ni 2.42-2.48
Ni 0.8333 0.6665 0.3744  7 Ni 2.42-2.48

Values from the calculation:
**Symmetry**: P6_3/mmc
**Energy relative to the elements**: -97 meV per atom
**Calculated volume**: 13.8 Å³/atom

***

(5)
A relaxed structure of Li2CdH, computed with PBE.

abc: 7.4712 7.4712 7.4712
angles: 22.99 22.99 22.99
With the nearest neighbours (Å) after each atom.
Fractional positions:
Li 0.2192 0.2192 0.2192  3 H 2.07
Li 0.7808 0.7808 0.7808  3 H 2.07
Cd 0.0000 0.0000 0.0000  6 Cd 2.98, 6 Li 3.03
H 0.5000 0.5000 0.5000  6 Li 2.07

Values from the calculation:
**Relative energy among the computed polymorphs**: 0 meV/atom
**Symmetry**: R-3m
**Calculated volume**: 14.0 Å³/atom

***

(6)
A relaxed structure of AlFeSe2, computed with PBE.

abc: 4.6402 4.6402 4.6402
angles: 60.00 60.00 60.00
With the nearest neighbours (Å) after each atom.
Fractional positions:
Al 0.0000 0.0000 0.0000  4 Se 2.84, 4 Fe 2.84
Fe 0.2500 0.2500 0.2500  4 Se 2.84, 4 Al 2.84
Se 0.5000 0.5000 0.5000  4 Fe 2.84, 4 Se 2.84
Se 0.7500 0.7500 0.7500  4 Se 2.84, 4 Al 2.84

Values from the calculation:
**Symmetry**: F-43m
**Raw formation energy**: 494 meV/atom
**Calculated volume**: 17.7 Å³/atom

***

(7)
A relaxed structure of Sr2LaP, computed with PBE.

abc: 6.8642 6.8642 6.8642
angles: 140.10 140.10 57.69
With the nearest neighbours (Å) after each atom.
Fractional positions:
Sr 0.2500 0.7500 0.5000  4 Sr 3.31
Sr 0.7500 0.2500 0.5000  4 Sr 3.31
La 0.0000 0.0000 0.0000  4 P 3.31
P 0.5000 0.5000 0.0000  4 La 3.31

Values from the calculation:
**Relative energy among the computed polymorphs**: 391 meV/atom
**Symmetry**: I4/mmm
**Energy relative to the elements**: -174 meV per atom
**Calculated volume**: 33.0 Å³/atom

***

(8)
A relaxed structure of GdDyAgSn, computed with PBE.

abc: 5.2532 5.2532 5.2532
angles: 60.00 60.00 60.00
With the nearest neighbours (Å) after each atom.
Fractional positions:
Gd 0.0000 0.0000 0.0000  4 Sn 3.22, 4 Ag 3.22
Dy 0.5000 0.5000 0.5000  4 Sn 3.22, 4 Ag 3.22
Ag 0.2500 0.2500 0.2500  4 Gd 3.22, 4 Dy 3.22
Sn 0.7500 0.7500 0.7500  4 Gd 3.22, 4 Dy 3.22

Values from the calculation:
**Symmetry**: F-43m
**Energy relative to the elements**: -530 meV per atom
**Calculated volume**: 25.6 Å³/atom

***

(9)
A relaxed structure of LiNi2Br, computed with PBE.

abc: 3.4709 3.4709 5.0964
angles: 90.00 90.00 90.98
With the nearest neighbours (Å) after each atom.
Fractional positions:
Li 0.0000 0.0000 0.0000  4 Br 2.43-2.48
Ni 0.2468 0.2468 0.5000  4 Ni 2.40-2.48
Ni 0.7532 0.7532 0.5000  4 Ni 2.40-2.48
Br 0.5000 0.5000 0.0000  4 Li 2.43-2.48

Values from the calculation:
**Relative energy among the computed polymorphs**: 131 meV/atom
**Symmetry**: Cmmm
**Raw formation energy**: 125 meV/atom
**Calculated volume**: 15.3 Å³/atom

***

(10)
A relaxed structure of V7GaC2, computed with PBE.

abc: 6.0967 6.0967 3.9558
angles: 90.00 90.00 116.54
With the nearest neighbours (Å) after each atom.
Fractional positions:
V 0.0000 0.0000 0.0000  2 C 2.13, 4 V 2.36
V 0.1626 0.4308 0.0000  2 C 2.04-2.11
V 0.2326 0.7674 0.5000  2 C 2.00
V 0.4308 0.1626 0.0000  2 C 2.04-2.11
V 0.5692 0.8374 0.0000  2 C 2.04-2.11
V 0.7674 0.2326 0.5000  2 C 2.00
V 0.8374 0.5692 0.0000  2 C 2.04-2.11
Ga 0.5000 0.5000 0.5000  10 V 2.75-2.77
C 0.2056 0.7944 0.0000  7 V 2.00-2.13
C 0.7944 0.2056 0.0000  7 V 2.00-2.13

Values from the calculation:
**Symmetry**: Cmmm
**Energy relative to the elements**: -26 meV per atom
**Calculated volume**: 13.2 Å³/atom

***

(11)
A relaxed structure of FeNiAs4, computed with PBE.

abc: 5.1764 3.1137 5.9503
angles: 90.00 90.09 90.00
With the nearest neighbours (Å) after each atom.
Fractional positions:
Fe 0.0000 0.0000 0.0000  6 As 2.34-2.38
Ni 0.5000 0.5000 0.5000  6 As 2.40-2.41
As 0.1825 0.0000 0.3607  1 Fe 2.34, 2 Ni 2.41, 1 As 2.52
As 0.3119 0.5000 0.8677  2 Fe 2.38, 1 Ni 2.40, 1 As 2.50
As 0.6881 0.5000 0.1323  2 Fe 2.38, 1 Ni 2.40, 1 As 2.50
As 0.8175 0.0000 0.6393  1 Fe 2.34, 2 Ni 2.41, 1 As 2.52

Values from the calculation:
**Relative energy among the computed polymorphs**: 0 meV/atom
**Symmetry**: P2/m
**Energy relative to the elements**: -259 meV per atom
**Calculated volume**: 16.0 Å³/atom

***

(12)
A relaxed structure of Ho4S3N, computed with PBE.

abc: 6.6011 6.6011 3.7305
angles: 90.00 90.00 108.73
With the nearest neighbours (Å) after each atom.
Fractional positions:
Ho 0.2163 0.2163 0.5000  2 N 2.50, 2 S 2.69
Ho 0.2285 0.7715 0.0000  1 N 2.45, 4 S 2.69
Ho 0.7715 0.2285 0.0000  1 N 2.45, 4 S 2.69
Ho 0.7837 0.7837 0.5000  2 N 2.50, 2 S 2.69
S 0.0000 0.5000 0.5000  6 Ho 2.69
S 0.5000 0.0000 0.5000  6 Ho 2.69
S 0.5000 0.5000 0.0000  6 Ho 2.87-2.91
N 0.0000 0.0000 0.0000  6 Ho 2.45-2.50

Values from the calculation:
**Relative energy among the computed polymorphs**: 0 meV/atom
**Symmetry**: Cmmm
**Raw formation energy**: -1888 meV/atom
**Calculated volume**: 19.2 Å³/atom

***

What did the second record say?
A relaxed structure of Mg2ScW, computed with PBE.

abc: 5.8311 5.8311 5.8311
angles: 149.74 127.55 61.76
With the nearest neighbours (Å) after each atom.
Fractional positions:
Mg 0.0000 0.0000 0.0000  4 Mg 2.94-3.04, 4 W 2.99, 2 Sc 3.13
Mg 0.7492 0.2492 0.5000  2 W 2.85, 4 Mg 2.94-3.04, 4 Sc 3.00
Sc 0.2732 0.7732 0.5000  2 W 2.80, 6 Mg 3.00-3.13, 2 Sc 3.04
W 0.5082 0.5082 0.0000  2 Sc 2.80, 6 Mg 2.85-2.99, 2 W 3.04

Values from the calculation:
**Relative energy among the computed polymorphs**: 184 meV/atom
**Symmetry**: Imm2
**Energy relative to the elements**: 373 meV per atom
**Calculated volume**: 19.6 Å³/atom